Entry 1:
First-principles (PBE) data for a relaxed Pr2Nd4Er5 crystal, as listed in Alexandria. Values from VASP.

```
&SYSTEM
  ibrav = 0, nat = 11, ntyp = 3
/
ATOMIC_SPECIES
Pr 140.91 Pr.upf
Nd 144.24 Nd.upf
Er 167.26 Er.upf
ATOMIC_POSITIONS crystal
Pr 0.147 0.150 0.101
Pr 0.853 0.850 0.899
Nd 0.009 0.705 0.472
Nd 0.109 0.753 0.179
Nd 0.891 0.247 0.821
Nd 0.991 0.295 0.528
Er 0.413 0.574 0.715
Er 0.457 0.973 0.648
Er 0.500 0.500 0.000
Er 0.543 0.027 0.352
Er 0.587 0.426 0.285
CELL_PARAMETERS angstrom
3.603 0.000 0.000
0.082 8.666 0.000
1.258 0.051 11.833
```

Computed properties:
- Spin magnetization: 0.00 Bohr magnetons per cell
- DOS(E_F): 18.693 states/eV/cell
- Calculated density: 7619 kg/m³
- Formation energy: 55 meV/atom

Entry 2:
First-principles (PBE) data for a relaxed AlCdOs2 crystal, as listed in Alexandria. Values from VASP.

```
&SYSTEM
  ibrav = 0, nat = 8, ntyp = 3
/
ATOMIC_SPECIES
Al 26.98 Al.upf
Cd 112.41 Cd.upf
Os 190.23 Os.upf
ATOMIC_POSITIONS crystal
Al 0.000 0.000 0.000
Al 0.500 0.500 0.500
Cd 0.000 0.500 0.772
Cd 0.500 0.000 0.272
Os 0.000 0.000 0.542
Os 0.000 0.500 0.272
Os 0.500 0.000 0.772
Os 0.500 0.500 0.042
CELL_PARAMETERS angstrom
2.976 0.000 0.000
0.000 4.515 0.000
0.000 0.000 9.432
```

Computed properties:
- Spin magnetization: 0.00 Bohr magnetons per cell
- DOS(E_F): 5.974 states/eV/cell
- Calculated density: 13620 kg/m³
- Formation energy: 345 meV/atom

Entry 3:
First-principles (PBE) data for a relaxed ZnCo4Ru crystal, as listed in Alexandria. Values from VASP.

```
&SYSTEM
  ibrav = 0, nat = 6, ntyp = 3
/
ATOMIC_SPECIES
Zn 65.41 Zn.upf
Co 58.93 Co.upf
Ru 101.07 Ru.upf
ATOMIC_POSITIONS crystal
Zn 0.000 0.000 0.000
Co 0.124 0.625 0.625
Co 0.625 0.124 0.625
Co 0.625 0.625 0.124
Co 0.625 0.625 0.625
Ru 0.250 0.250 0.250
CELL_PARAMETERS angstrom
0.000 3.322 3.322
3.322 0.000 3.322
3.322 3.322 0.000
```

Computed properties:
- Spin magnetization: 7.72 Bohr magnetons per cell
- DOS(E_F): 5.604 states/eV/cell
- Calculated density: 9113 kg/m³
- Formation energy: 136 meV/atom

Entry 4:
First-principles (PBE) data for a relaxed TmSi2Pt2 crystal, as listed in Alexandria. Values from VASP.

```
&SYSTEM
  ibrav = 0, nat = 10, ntyp = 3
/
ATOMIC_SPECIES
Tm 168.93 Tm.upf
Si 28.09 Si.upf
Pt 195.08 Pt.upf
ATOMIC_POSITIONS crystal
Tm 0.000 0.000 0.000
Tm 0.500 0.500 0.500
Si 0.000 0.500 0.250
Si 0.000 0.500 0.750
Si 0.500 0.000 0.250
Si 0.500 0.000 0.750
Pt 0.000 0.000 0.368
Pt 0.000 0.000 0.632
Pt 0.500 0.500 0.132
Pt 0.500 0.500 0.868
CELL_PARAMETERS angstrom
4.174 0.000 0.000
0.000 4.174 0.000
0.000 0.000 10.126
```

Computed properties:
- ΔE_f (raw): -4.80 eV per formula unit
- Spin magnetization: 0.00 Bohr magnetons per cell
- DOS(E_F): 3.733 states/eV/cell
- Calculated density: 11582 kg/m³

Entry 5:
First-principles (PBE) data for a relaxed Pu2AsI2 crystal, as listed in Alexandria. Values from VASP.

```
&SYSTEM
  ibrav = 0, nat = 10, ntyp = 3
/
ATOMIC_SPECIES
Pu 244.00 Pu.upf
As 74.92 As.upf
I 126.90 I.upf
ATOMIC_POSITIONS crystal
Pu 0.218 0.000 0.138
Pu 0.282 0.500 0.862
Pu 0.718 0.500 0.138
Pu 0.782 0.000 0.862
As 0.000 0.500 0.000
As 0.500 0.000 0.000
I 0.052 0.000 0.688
I 0.448 0.500 0.312
I 0.552 0.500 0.688
I 0.948 0.000 0.312
CELL_PARAMETERS angstrom
7.385 0.000 0.000
0.000 4.265 0.000
-2.718 0.000 11.576
```

Computed properties:
- ΔE_f (raw): -5.44 eV per formula unit
- Spin magnetization: 22.00 Bohr magnetons per cell
- DOS(E_F): 43.708 states/eV/cell
- Calculated density: 7439 kg/m³

Entry 6:
First-principles (PBE) data for a relaxed PmPr2NdSe4 crystal, as listed in Alexandria. Values from VASP.

```
&SYSTEM
  ibrav = 0, nat = 8, ntyp = 4
/
ATOMIC_SPECIES
Pm 145.00 Pm.upf
Pr 140.91 Pr.upf
Nd 144.24 Nd.upf
Se 78.96 Se.upf
ATOMIC_POSITIONS crystal
Pm 0.000 0.000 0.000
Pr 0.000 0.500 0.500
Pr 0.500 0.000 0.500
Nd 0.500 0.500 0.000
Se 0.247 0.500 0.245
Se 0.250 0.000 0.754
Se 0.750 0.000 0.246
Se 0.753 0.500 0.755
CELL_PARAMETERS angstrom
7.370 0.000 0.000
0.000 4.191 0.000
-2.391 0.000 6.979
```

Computed properties:
- ΔE_f (raw): -14.71 eV per formula unit
- Spin magnetization: 0.00 Bohr magnetons per cell
- DOS(E_F): 5.170 states/eV/cell
- Calculated density: 6831 kg/m³

Entry 7:
First-principles (PBE) data for a relaxed KHgBr crystal, as listed in Alexandria. Values from VASP.

```
&SYSTEM
  ibrav = 0, nat = 12, ntyp = 3
/
ATOMIC_SPECIES
K 39.10 K.upf
Hg 200.59 Hg.upf
Br 79.90 Br.upf
ATOMIC_POSITIONS crystal
K 0.000 0.000 0.000
K 0.000 0.500 0.500
K 0.500 0.000 0.500
K 0.500 0.500 0.000
Hg 0.250 0.250 0.750
Hg 0.250 0.750 0.250
Hg 0.750 0.250 0.250
Hg 0.750 0.750 0.750
Br 0.000 0.000 0.500
Br 0.000 0.500 0.000
Br 0.500 0.000 0.000
Br 0.500 0.500 0.500
CELL_PARAMETERS angstrom
7.950 0.000 0.000
0.000 7.950 0.000
0.000 0.000 7.950
```

Computed properties:
- ΔE_f (raw): -2.64 eV per formula unit
- Spin magnetization: 0.00 Bohr magnetons per cell
- DOS(E_F): 0.000 states/eV/cell
- Calculated density: 4224 kg/m³

Entry 8:
First-principles (PBE) data for a relaxed Cs2CdTe2 crystal, as listed in Alexandria. Values from VASP.

```
&SYSTEM
  ibrav = 0, nat = 10, ntyp = 3
/
ATOMIC_SPECIES
Cs 132.91 Cs.upf
Cd 112.41 Cd.upf
Te 127.60 Te.upf
ATOMIC_POSITIONS crystal
Cs 0.103 0.103 0.318
Cs 0.336 0.336 0.969
Cs 0.664 0.664 0.031
Cs 0.897 0.897 0.682
Cd 0.374 0.374 0.335
Cd 0.626 0.626 0.665
Te 0.170 0.170 0.078
Te 0.432 0.432 0.612
Te 0.568 0.568 0.388
Te 0.830 0.830 0.922
CELL_PARAMETERS angstrom
8.302 -3.791 0.000
8.302 3.791 0.000
-8.012 0.000 9.244
```

Computed properties:
- ΔE_f (raw): -4.23 eV per formula unit
- Spin magnetization: 0.00 Bohr magnetons per cell
- DOS(E_F): 0.000 states/eV/cell
- Calculated density: 3615 kg/m³

Entry 9:
First-principles (PBE) data for a relaxed AlTl2I crystal, as listed in Alexandria. Values from VASP.

```
&SYSTEM
  ibrav = 0, nat = 16, ntyp = 3
/
ATOMIC_SPECIES
Al 26.98 Al.upf
Tl 204.38 Tl.upf
I 126.90 I.upf
ATOMIC_POSITIONS crystal
Al 0.000 0.000 0.000
Al 0.000 0.500 0.250
Al 0.500 0.000 0.750
Al 0.500 0.500 0.500
Tl 0.171 0.250 0.125
Tl 0.250 0.671 0.375
Tl 0.250 0.829 0.875
Tl 0.329 0.250 0.625
Tl 0.671 0.750 0.625
Tl 0.750 0.171 0.875
Tl 0.750 0.329 0.375
Tl 0.829 0.750 0.125
I 0.000 0.000 0.500
I 0.000 0.500 0.750
I 0.500 0.000 0.250
I 0.500 0.500 0.000
CELL_PARAMETERS angstrom
6.772 0.000 0.000
0.000 6.772 0.000
0.000 0.000 14.504
```

Computed properties:
- ΔE_f (raw): 0.35 eV per formula unit
- Spin magnetization: 0.00 Bohr magnetons per cell
- DOS(E_F): 1.971 states/eV/cell
- Calculated density: 5618 kg/m³

Entry 10:
First-principles (PBE) data for a relaxed PrNd6Dy2Tm crystal, as listed in Alexandria. Values from VASP.

```
&SYSTEM
  ibrav = 0, nat = 20, ntyp = 4
/
ATOMIC_SPECIES
Pr 140.91 Pr.upf
Nd 144.24 Nd.upf
Dy 162.50 Dy.upf
Tm 168.93 Tm.upf
ATOMIC_POSITIONS crystal
Pr 0.027 0.973 0.750
Pr 0.973 0.027 0.250
Nd 0.007 0.563 0.687
Nd 0.118 0.759 0.055
Nd 0.241 0.882 0.445
Nd 0.293 0.512 0.883
Nd 0.437 0.993 0.813
Nd 0.488 0.707 0.617
Nd 0.512 0.293 0.383
Nd 0.563 0.007 0.187
Nd 0.707 0.488 0.117
Nd 0.759 0.118 0.555
Nd 0.882 0.241 0.945
Nd 0.993 0.437 0.313
Dy 0.203 0.302 0.548
Dy 0.302 0.203 0.048
Dy 0.698 0.797 0.952
Dy 0.797 0.698 0.452
Tm 0.412 0.588 0.250
Tm 0.588 0.412 0.750
CELL_PARAMETERS angstrom
4.666 -7.667 0.000
4.666 7.667 0.000
-1.166 0.000 9.613
```

Computed properties:
- Spin magnetization: 0.00 Bohr magnetons per cell
- DOS(E_F): 28.374 states/eV/cell
- Calculated density: 7243 kg/m³
- Formation energy: 114 meV/atom